DFT (PBE) results for a relaxed structure of CaSmEu2.

* electronic total energy: -27.023 eV per formula unit
* ΔE to the lowest computed polymorph: 0.03 eV/f.u.
* SG: No. 123
* crystal system: tetragonal

Cell lengths 3.7878, 3.7878, 11.0196 Å; angles 90.00, 90.00, 90.00 degrees
Closest atoms and distances in Å follow each position.
Fractional coordinates of all 4 atoms:
Ca1 0.0000 0.0000 0.0000  4 Ca 3.79, 8 Eu 3.94
Sm1 0.0000 0.0000 0.5000  8 Eu 3.74, 4 Sm 3.79
Eu1 0.5000 0.5000 0.2627  4 Sm 3.74, 4 Eu 3.79, 4 Ca 3.94
Eu2 0.5000 0.5000 0.7373  4 Sm 3.74, 4 Eu 3.79, 4 Ca 3.94


DFT (PBE) results for a relaxed structure of CaSmEu2.

* electronic total energy: -26.873 eV per formula unit
* ΔE to the lowest computed polymorph: 0.18 eV/f.u.
* SG: No. 123
* crystal system: tetragonal

Cell lengths 6.0897, 6.0897, 4.2062 Å; angles 90.00, 90.00, 90.00 degrees
Closest atoms and distances in Å follow each position.
Fractional coordinates of all 4 atoms:
Ca1 0.0000 0.0000 0.0000  8 Eu 3.70
Sm1 0.5000 0.5000 0.0000  8 Eu 3.70
Eu1 0.0000 0.5000 0.5000  4 Ca 3.70, 4 Sm 3.70
Eu2 0.5000 0.0000 0.5000  4 Ca 3.70, 4 Sm 3.70